1.
BeNiPbO4 | GGA+U | optimized geometry

```
BeNiPbO4
1.0
5.8578 0.0000 0.0000
2.9289 5.1946 -0.0715
2.9289 1.5144 4.9694
Be Ni Pb O
2 2 2 8
Cartesian
5.8578 3.4100 0.5576 Be
5.8578 3.2990 4.3404 Be
4.3933 0.7572 2.4847 Ni
1.4644 0.7572 2.4847 Ni
0.0000 0.0000 0.0000 Pb
2.9289 3.3545 2.4490 Pb
8.7866 5.0824 3.7342 O
5.8578 4.9586 3.6438 O
5.8578 1.7505 1.2542 O
2.9289 1.6266 1.1638 O
4.5045 4.2679 1.1839 O
7.2110 4.2679 1.1839 O
4.5045 2.4412 3.7141 O
7.2110 2.4412 3.7141 O
```

Output
total magnetization	4.00	μB/cell
total DFT energy (no corrections)	-5.52	eV per atom
crystal system	orthorhombic

---

2.
Be2Ni2PdO6 | GGA+U | optimized geometry

```
Be2Ni2PdO6
1.0
5.1872 0.0000 0.0000
2.5936 4.4923 0.0000
2.5936 1.4974 5.2588
Be Ni Pd O
2 2 1 6
Cartesian
5.1872 2.9948 4.0307 Be
5.1872 2.9949 1.2281 Be
7.7809 4.4923 2.7480 Ni
2.5936 1.4974 2.5107 Ni
0.0000 0.0000 0.0000 Pd
6.5100 3.7585 1.3823 O
3.8645 3.7585 1.3823 O
5.1872 1.4675 1.3823 O
5.1872 4.5222 3.8765 O
6.5100 2.2312 3.8765 O
3.8645 2.2312 3.8765 O
```

Output
total magnetization	4.01	μB/cell
total DFT energy (no corrections)	-5.37	eV per atom
crystal system	trigonal

---

Q: Look up the total DFT energy (no corrections) of the second one.
A: -5.37 eV per atom